[1]
Crystalline LaRuSBr2 at its relaxed geometry, computed with GGA-PBE.

Output
As for the space group: P4/mmm (123). The uncorrected formation energy is -0.4 eV/f.u. Its volume is 187.5 Å³/cell. The value obtained for the size of the total moment is 3.02 Bohr magnetons per cell.

The structure in POSCAR format:
```
LaRuSBr2
1.0
5.8460 0.0000 0.0000
0.0000 5.4859 0.0000
0.0000 0.0000 5.8460
S Br Ru La
1 2 1 1
Direct
0.0000 0.5000 0.0000
0.0000 0.0000 0.5000
0.5000 0.0000 0.0000
0.5000 0.5000 0.5000
0.0000 0.0000 0.0000
```

[2]
Crystalline LaSbRu2Br at its relaxed geometry, computed with GGA-PBE.

Output
As for the space group: P4/mmm (123). The uncorrected formation energy is 2.3 eV/f.u. Its volume is 133.9 Å³/cell. The value obtained for the size of the total moment is 0.94 Bohr magnetons per cell.

The structure in POSCAR format:
```
LaSbRu2Br
1.0
4.8550 0.0000 0.0000
0.0000 5.6818 0.0000
0.0000 0.0000 4.8550
Ru La Br Sb
2 1 1 1
Direct
0.0000 0.0000 0.5000
0.5000 0.0000 0.0000
0.5000 0.5000 0.5000
0.0000 0.5000 0.0000
0.0000 0.0000 0.0000
```

[3]
Crystalline La6SbRu2Br3 at its relaxed geometry, computed with GGA-PBE.

Output
As for the space group: C2/m (12). The uncorrected formation energy is -12.5 eV/f.u. Its volume is 379.4 Å³/cell. The value obtained for the size of the total moment is 0.00 Bohr magnetons per cell.

The structure in POSCAR format:
```
La6SbRu2Br3
1.0
7.5106 0.0148 -0.0350
-3.7406 6.5128 -0.0350
-1.2935 -2.2397 7.7709
Br La Ru Sb
3 6 2 1
Direct
0.1585 0.8415 0.5000
0.8415 0.1585 0.5000
0.5000 0.5000 0.5000
0.6985 0.6985 0.2038
0.5694 0.9413 0.7944
0.4306 0.0587 0.2056
0.3015 0.3015 0.7962
0.9413 0.5694 0.7944
0.0587 0.4306 0.2056
0.3321 0.6679 0.0000
0.6679 0.3321 0.0000
0.0000 0.0000 0.0000
```

[4]
Crystalline La8Ru3SeBr4 at its relaxed geometry, computed with GGA-PBE.

Output
As for the space group: R-3m (166). The uncorrected formation energy is -17.6 eV/f.u. Its volume is 487.7 Å³/cell. The value obtained for the size of the total moment is 0.00 Bohr magnetons per cell.

The structure in POSCAR format:
```
La8Ru3SeBr4
1.0
8.4964 0.0000 0.0000
0.0000 9.2016 0.4917
-4.2482 -4.2445 6.0112
La Se Br Ru
8 1 4 3
Direct
0.7575 0.3036 0.5149
0.2653 0.2961 0.5305
0.7113 0.6964 0.9540
0.2425 0.6964 0.4851
0.2427 0.6964 0.9540
0.7347 0.7039 0.4695
0.7573 0.3036 0.0460
0.2887 0.3036 0.0460
0.0000 0.5000 0.0000
0.5000 0.0000 0.5000
0.0000 0.0000 0.0000
0.5000 0.0000 0.0000
0.0000 0.0000 0.5000
0.0000 0.5000 0.5000
0.5000 0.5000 0.0000
0.5000 0.5000 0.5000
```

[5]
Crystalline LaRu2SeBr at its relaxed geometry, computed with GGA-PBE.

Output
As for the space group: P4/mmm (123). The uncorrected formation energy is 6.4 eV/f.u. Its volume is 148.5 Å³/cell. The value obtained for the size of the total moment is 4.10 Bohr magnetons per cell.

The structure in POSCAR format:
```
LaRu2SeBr
1.0
-1.0756 2.2082 4.4771
-5.5672 -0.5065 -1.0876
-0.0235 -4.5821 2.2543
Se La Br Ru
1 1 1 2
Direct
0.0000 0.5000 0.0000
0.0000 0.0000 0.0000
0.5000 0.5000 0.5000
0.5000 0.0000 0.0000
0.0000 0.0000 0.5000
```

[6]
Crystalline La2RuSeBr at its relaxed geometry, computed with GGA-PBE.

Output
As for the space group: P4/mmm (123). The uncorrected formation energy is -1.5 eV/f.u. Its volume is 143.9 Å³/cell. The value obtained for the size of the total moment is 0.00 Bohr magnetons per cell.

The structure in POSCAR format:
```
La2RuSeBr
1.0
5.6675 0.0000 0.0000
0.0000 4.4794 0.0000
0.0000 0.0000 5.6675
La Br Se Ru
2 1 1 1
Direct
0.5000 0.0000 0.0000
0.0000 0.0000 0.5000
0.0000 0.0000 0.0000
0.5000 0.5000 0.5000
0.0000 0.5000 0.0000
```

[7]
Crystalline LaRuSeBr2 at its relaxed geometry, computed with GGA-PBE.

Output
As for the space group: P4/mmm (123). The uncorrected formation energy is -2.9 eV/f.u. The distance to the lowest polymorph of the same formula is 0.0 meV/atom. Its volume is 123.2 Å³/cell. The value obtained for the size of the total moment is 0.02 Bohr magnetons per cell.

The structure in POSCAR format:
```
LaRuSeBr2
1.0
4.9384 0.0000 0.0000
0.0000 4.9384 0.0000
0.0000 0.0000 5.0521
La Br Ru Se
1 2 1 1
Direct
0.5000 0.5000 0.5000
0.0000 0.5000 0.0000
0.5000 0.0000 0.0000
0.0000 0.0000 0.0000
0.0000 0.0000 0.5000
```

[8]
Crystalline La6Ru2SeBr3 at its relaxed geometry, computed with GGA-PBE.

Output
As for the space group: C2/m (12). The uncorrected formation energy is -14.2 eV/f.u. Its volume is 366.3 Å³/cell. The value obtained for the size of the total moment is 0.00 Bohr magnetons per cell.

The structure in POSCAR format:
```
La6Ru2SeBr3
1.0
7.3730 -0.0007 0.0061
-3.6853 6.3859 0.0061
-1.2232 -2.1179 7.7768
Ru Br Se La
2 3 1 6
Direct
0.6669 0.3331 0.0000
0.3331 0.6669 0.0000
0.8367 0.1633 0.5000
0.5000 0.5000 0.5000
0.1633 0.8367 0.5000
0.0000 0.0000 0.0000
0.5763 0.9323 0.7983
0.9323 0.5763 0.7983
0.2891 0.2891 0.7980
0.7109 0.7109 0.2020
0.4237 0.0677 0.2017
0.0677 0.4237 0.2017
```

[9]
Crystalline LaRuSeBr2 at its relaxed geometry, computed with GGA-PBE.

Output
As for the space group: P4/mmm (123). The uncorrected formation energy is -0.4 eV/f.u. The distance to the lowest polymorph of the same formula is 498.8 meV/atom. Its volume is 194.2 Å³/cell. The value obtained for the size of the total moment is 3.06 Bohr magnetons per cell.

The structure in POSCAR format:
```
LaRuSeBr2
1.0
5.7756 0.0000 0.0000
0.0000 5.7756 0.0000
0.0000 0.0000 5.8224
Se Br Ru La
1 2 1 1
Direct
0.0000 0.0000 0.5000
0.0000 0.5000 0.0000
0.5000 0.0000 0.0000
0.5000 0.5000 0.5000
0.0000 0.0000 0.0000
```

[10]
Crystalline La4RuSe2Br at its relaxed geometry, computed with GGA-PBE.

Output
As for the space group: P2/m (10). The uncorrected formation energy is -11.0 eV/f.u. Its volume is 229.3 Å³/cell. The value obtained for the size of the total moment is 0.00 Bohr magnetons per cell.

The structure in POSCAR format:
```
La4RuSe2Br
1.0
-0.8523 4.1000 0.5123
-7.2765 -1.3507 -1.2957
-3.2582 -1.5118 6.6793
Se La Br Ru
2 4 1 1
Direct
0.0000 0.0000 0.0000
0.5000 0.0000 0.5000
0.0000 0.7451 0.7225
0.5000 0.2646 0.7269
0.0000 0.2549 0.2775
0.5000 0.7354 0.2731
0.5000 0.5000 0.0000
0.0000 0.5000 0.5000
```

[11]
Crystalline La6SiRu2Br3 at its relaxed geometry, computed with GGA-PBE.

Output
As for the space group: C2/m (12). The uncorrected formation energy is -11.7 eV/f.u. Its volume is 366.1 Å³/cell. The value obtained for the size of the total moment is 0.00 Bohr magnetons per cell.

The structure in POSCAR format:
```
La6SiRu2Br3
1.0
7.3766 0.0003 -0.0107
-3.6862 6.3895 -0.0107
-1.2420 -2.1506 7.7741
Br La Si Ru
3 6 1 2
Direct
0.5000 0.5000 0.5000
0.8367 0.1633 0.5000
0.1633 0.8367 0.5000
0.0623 0.4146 0.2001
0.9377 0.5854 0.7999
0.2850 0.2850 0.8005
0.4146 0.0623 0.2001
0.7150 0.7150 0.1995
0.5854 0.9377 0.7999
0.0000 0.0000 0.0000
0.3326 0.6674 0.0000
0.6674 0.3326 0.0000
```

[12]
Crystalline La2SiRuBr at its relaxed geometry, computed with GGA-PBE.

Output
As for the space group: P4/mmm (123). The uncorrected formation energy is -3.6 eV/f.u. Its volume is 142.9 Å³/cell. The value obtained for the size of the total moment is 0.00 Bohr magnetons per cell.

The structure in POSCAR format:
```
La2SiRuBr
1.0
5.5852 0.0000 0.0000
0.0000 4.5796 0.0000
0.0000 0.0000 5.5852
La Si Ru Br
2 1 1 1
Direct
0.5000 0.0000 0.0000
0.0000 0.0000 0.5000
0.0000 0.5000 0.0000
0.0000 0.0000 0.0000
0.5000 0.5000 0.5000
```